[1]
{"formula": "Li3MnCoNiO6", "functional": "GGA-PBEsol", "state": "optimized geometry", "final_energy_ev_per_cell": -80.17, "raw_formation_energy_ev_per_atom": -1.5935, "lattice_angstrom": [[2.4612, -4.2557, 0.0000], [2.4612, 4.2557, 0.0000], [-1.6556, 0.0000, 4.6951]], "species": ["Li", "Li", "Li", "Mn", "Co", "Ni", "O", "O", "O", "O", "O", "O"], "frac_coords": [[0.0000, 0.0000, 0.0000], [0.3292, 0.6708, 0.0000], [0.6717, 0.3283, 0.0000], [0.5006, 0.4994, 0.5000], [0.1678, 0.8322, 0.5000], [0.8347, 0.1653, 0.5000], [0.1102, 0.4416, 0.2721], [0.2607, 0.2399, 0.7239], [0.4081, 0.0899, 0.2770], [0.5584, 0.8898, 0.7279], [0.7601, 0.7393, 0.2761], [0.9101, 0.5919, 0.7230]]}



[2]
{"formula": "LiGe2Pt", "functional": "GGA-PBEsol", "state": "optimized geometry", "delta_e_f_ev_per_atom": -0.379, "dos_at_fermi_per_ev_atom": 0.4449, "final_energy_ev_per_cell": -20.32, "lattice_angstrom": [[0.0000, 3.1101, 3.1101], [3.1101, 0.0000, 3.1101], [3.1101, 3.1101, 0.0000]], "species": ["Li", "Ge", "Ge", "Pt"], "frac_coords": [[0.0000, 0.0000, 0.0000], [0.2500, 0.2500, 0.2500], [0.7500, 0.7500, 0.7500], [0.5000, 0.5000, 0.5000]]}



[3]
{"formula": "Al2FeSbAu", "functional": "GGA-PBEsol", "state": "optimized geometry", "dos_at_fermi_per_ev_atom": 0.9765, "final_energy_ev_per_cell": -22.99, "raw_formation_energy_ev_per_atom": 0.5272, "lattice_angstrom": [[4.7257, 0.0000, 0.0000], [0.0000, 4.7257, 0.0000], [0.0000, 0.0000, 4.8951]], "species": ["Al", "Al", "Fe", "Sb", "Au"], "frac_coords": [[0.0000, 0.5000, 0.0000], [0.5000, 0.0000, 0.0000], [0.0000, 0.0000, 0.5000], [0.5000, 0.5000, 0.5000], [0.0000, 0.0000, 0.0000]]}



[4]
{"formula": "Bi2Pt", "functional": "GGA-PBEsol", "state": "optimized geometry", "delta_e_f_ev_per_atom": -0.256, "dos_at_fermi_per_ev_atom": 0.2797, "final_energy_ev_per_cell": -130.41, "lattice_angstrom": [[6.7529, 0.0000, 0.0000], [0.0000, 6.8184, 0.0000], [0.0000, 0.0000, 13.4126]], "species": ["Bi", "Bi", "Bi", "Bi", "Bi", "Bi", "Bi", "Bi", "Bi", "Bi", "Bi", "Bi", "Bi", "Bi", "Bi", "Bi", "Pt", "Pt", "Pt", "Pt", "Pt", "Pt", "Pt", "Pt"], "frac_coords": [[0.1275, 0.0373, 0.1856], [0.1275, 0.4627, 0.6856], [0.1408, 0.6938, 0.9357], [0.1408, 0.8062, 0.4357], [0.3592, 0.1938, 0.9357], [0.3592, 0.3062, 0.4357], [0.3725, 0.5373, 0.1856], [0.3725, 0.9627, 0.6856], [0.6275, 0.0373, 0.3144], [0.6275, 0.4627, 0.8144], [0.6408, 0.6938, 0.5643], [0.6408, 0.8062, 0.0643], [0.8592, 0.1938, 0.5643], [0.8592, 0.3062, 0.0643], [0.8725, 0.5373, 0.3144], [0.8725, 0.9627, 0.8144], [0.0030, 0.6657, 0.1296], [0.0030, 0.8343, 0.6296], [0.4970, 0.1657, 0.1296], [0.4970, 0.3343, 0.6296], [0.5030, 0.6657, 0.3704], [0.5030, 0.8343, 0.8704], [0.9970, 0.1657, 0.3704], [0.9970, 0.3343, 0.8704]]}



[5]
{"formula": "Mo2Au2F", "functional": "GGA-PBEsol", "state": "optimized geometry", "dos_at_fermi_per_ev_atom": 0.6275, "final_energy_ev_per_cell": -31.72, "raw_formation_energy_ev_per_atom": 0.3189, "lattice_angstrom": [[-1.7510, 1.7510, 6.9896], [1.7510, -1.7510, 6.9896], [1.7510, 1.7510, -6.9896]], "species": ["Mo", "Mo", "Au", "Au", "F"], "frac_coords": [[0.2500, 0.7500, 0.5000], [0.7500, 0.2500, 0.5000], [0.0975, 0.0975, 0.0000], [0.9025, 0.9025, 0.0000], [0.5000, 0.5000, 0.0000]]}



[6]
{"formula": "ReAs4Au", "functional": "GGA-PBEsol", "state": "optimized geometry", "delta_e_f_ev_per_atom": 1.028, "dos_at_fermi_per_ev_atom": 0.5787, "final_energy_ev_per_cell": -31.51, "lattice_angstrom": [[0.0000, 3.7498, 3.7498], [3.7498, 0.0000, 3.7498], [3.7498, 3.7498, 0.0000]], "species": ["Re", "As", "As", "As", "As", "Au"], "frac_coords": [[0.0000, 0.0000, 0.0000], [0.1223, 0.6259, 0.6259], [0.6259, 0.1223, 0.6259], [0.6259, 0.6259, 0.1223], [0.6259, 0.6259, 0.6259], [0.2500, 0.2500, 0.2500]]}



[7]
{"formula": "TmIr2", "functional": "GGA-PBEsol", "state": "optimized geometry", "delta_e_f_ev_per_atom": -0.823, "dos_at_fermi_per_ev_atom": 0.7151, "final_energy_ev_per_cell": -54.03, "lattice_angstrom": [[0.0000, 3.7214, 3.7214], [3.7214, 0.0000, 3.7214], [3.7214, 3.7214, 0.0000]], "species": ["Tm", "Tm", "Ir", "Ir", "Ir", "Ir"], "frac_coords": [[0.1250, 0.1250, 0.1250], [0.8750, 0.8750, 0.8750], [0.0000, 0.5000, 0.5000], [0.5000, 0.0000, 0.5000], [0.5000, 0.5000, 0.0000], [0.5000, 0.5000, 0.5000]]}



[8]
{"formula": "RuBr2", "functional": "GGA-PBEsol", "state": "optimized geometry", "dos_at_fermi_per_ev_atom": 0.6887, "final_energy_ev_per_cell": -25.43, "raw_formation_energy_ev_per_atom": 0.3992, "lattice_angstrom": [[3.5459, 0.0000, 0.0000], [-1.7730, 3.0708, 0.0000], [0.0000, 0.0000, 13.7383]], "species": ["Ru", "Ru", "Br", "Br", "Br", "Br"], "frac_coords": [[0.0000, 0.0000, 0.2500], [0.0000, 0.0000, 0.7500], [0.3333, 0.6667, 0.1243], [0.3333, 0.6667, 0.3757], [0.6667, 0.3333, 0.6243], [0.6667, 0.3333, 0.8757]]}